No. 1
VASP calculation (PBE-GGA) on an optimized crystal structure of KTl7Hg12.

a b c (Å): 9.852 9.852 9.852
angles (deg): 109.47 109.47 109.47
Sites, in units of the cell vectors:
Hg 0.725 0.153 0.879
K 0.000 0.000 0.000
Hg 0.725 0.847 0.572
Hg 0.275 0.847 0.121
Tl 0.000 0.500 0.000
Tl 0.500 0.500 0.500
Tl 0.000 0.000 0.500
Tl 0.500 0.500 0.000
Tl 0.500 0.000 0.000
Hg 0.572 0.725 0.847
Hg 0.121 0.275 0.847
Hg 0.153 0.428 0.275
Tl 0.500 0.000 0.500
Hg 0.879 0.725 0.153
Hg 0.847 0.572 0.725
Hg 0.847 0.121 0.275
Hg 0.428 0.275 0.153
Hg 0.153 0.879 0.725
Tl 0.000 0.500 0.500
Hg 0.275 0.153 0.428

Calculated values
Space group: Im-3
Crystal system: cubic
Energy of formation from the pure elements, meV per atom: 89
Total moment, μB per atom: 0.000

=====

No. 2
VASP calculation (PBE-GGA) on an optimized crystal structure of K12Cd3Au5.

a b c (Å): 17.568 17.568 17.568
angles (deg): 109.47 109.47 109.47
Sites, in units of the cell vectors:
Au 0.375 0.250 0.125
Cd 0.625 0.375 0.750
K 0.285 0.410 0.826
K 0.590 0.876 0.417
Cd 0.375 0.750 0.625
K 0.674 0.215 0.590
Au 0.000 0.000 0.500
K 0.410 0.124 0.583
K 0.917 0.826 0.541
Au 0.625 0.750 0.875
K 0.215 0.541 0.624
K 0.583 0.959 0.674
Au 0.875 0.625 0.750
K 0.326 0.785 0.410
K 0.459 0.674 0.083
K 0.910 0.083 0.624
K 0.826 0.917 0.041
K 0.376 0.417 0.090
K 0.674 0.459 0.583
K 0.910 0.826 0.785
K 0.959 0.376 0.285
K 0.826 0.910 0.285
Au 0.500 0.000 0.000
K 0.410 0.285 0.326
Au 0.125 0.750 0.375
K 0.174 0.090 0.715
K 0.090 0.917 0.376
Cd 0.125 0.250 0.875
Cd 0.875 0.125 0.250
Cd 0.250 0.625 0.875
Cd 0.875 0.750 0.125
Cd 0.750 0.375 0.125
Au 0.500 0.500 0.000
K 0.124 0.715 0.541
K 0.715 0.590 0.174
K 0.083 0.910 0.124
Au 0.000 0.500 0.000
Cd 0.625 0.250 0.375
Au 0.250 0.875 0.125
Au 0.750 0.625 0.375
K 0.174 0.083 0.959
K 0.090 0.174 0.215
K 0.715 0.124 0.041
K 0.917 0.090 0.876
K 0.959 0.583 0.174
Cd 0.125 0.875 0.750
K 0.285 0.876 0.959
K 0.583 0.624 0.410
K 0.785 0.459 0.376
K 0.326 0.541 0.417
K 0.041 0.417 0.826
K 0.041 0.624 0.715
Au 0.500 0.000 0.500
Au 0.875 0.250 0.625
K 0.590 0.715 0.674
K 0.124 0.410 0.083
K 0.083 0.174 0.459
Au 0.125 0.375 0.250
K 0.541 0.215 0.124
Au 0.500 0.500 0.500
K 0.417 0.376 0.590
Au 0.000 0.000 0.000
K 0.376 0.959 0.785
K 0.459 0.785 0.876
Au 0.250 0.375 0.625
K 0.215 0.674 0.090
K 0.785 0.326 0.910
Cd 0.750 0.875 0.625
Au 0.625 0.875 0.250
Au 0.000 0.500 0.500
Cd 0.375 0.625 0.250
K 0.541 0.326 0.917
Au 0.375 0.125 0.750
K 0.876 0.590 0.917
K 0.624 0.041 0.215
K 0.876 0.285 0.459
Cd 0.250 0.125 0.375
K 0.624 0.583 0.910
Au 0.750 0.125 0.875
K 0.417 0.041 0.326

Calculated values
Space group: Ia-3d
Crystal system: cubic
Energy of formation from the pure elements, meV per atom: -44
Total moment, μB per atom: 0.052

=====

No. 3
VASP calculation (PBE-GGA) on an optimized crystal structure of TcOs2Br.

a b c (Å): 5.335 5.335 5.335
angles (deg): 148.43 129.68 60.63
Sites, in units of the cell vectors:
Br 0.250 0.750 0.500
Tc 0.750 0.250 0.500
Os 0.015 0.015 0.000
Os 0.485 0.485 0.000

Calculated values
Space group: Immm
Excess energy over the best structure of this formula in the dataset, kJ/mol of formula units: 134
Crystal system: orthorhombic
Formation energy from raw total energies, meV/atom: 1037
Total moment, μB per atom: 0.000

=====

No. 4
VASP calculation (PBE-GGA) on an optimized crystal structure of MnTc2Ge.

a b c (Å): 4.226 4.226 4.726
angles (deg): 63.44 63.44 60.00
Sites, in units of the cell vectors:
Tc 0.064 0.064 0.807
Ge 0.688 0.688 0.936
Mn 0.486 0.486 0.543
Tc 0.262 0.262 0.214

Calculated values
Space group: R3m
Crystal system: trigonal
Energy of formation from the pure elements, meV per atom: 254
Total moment, μB per atom: 0.700

=====

No. 5
VASP calculation (PBE-GGA) on an optimized crystal structure of Ba7Na2Hg2.

a b c (Å): 8.485 8.683 8.485
angles (deg): 89.99 106.34 90.01
Sites, in units of the cell vectors:
Hg 0.714 0.000 0.286
Ba 0.000 0.250 0.500
Ba 0.500 0.750 0.000
Hg 0.286 0.000 0.714
Ba 0.500 0.250 0.000
Na 0.163 0.500 0.163
Ba 0.000 0.750 0.500
Ba 0.500 0.764 0.500
Na 0.837 0.500 0.837
Ba 0.500 0.236 0.500
Ba 0.000 0.000 0.000

Calculated values
Space group: Cmmm
Crystal system: orthorhombic
Energy of formation from the pure elements, meV per atom: -118
Total moment, μB per atom: 0.000

=====

No. 6
VASP calculation (PBE-GGA) on an optimized crystal structure of Sr5HgPd.

a b c (Å): 4.629 8.761 14.332
angles (deg): 87.57 90.00 90.00
Sites, in units of the cell vectors:
Sr 0.750 0.659 0.282
Sr 0.750 0.940 0.660
Hg 0.250 0.931 0.833
Hg 0.750 0.069 0.167
Sr 0.250 0.669 0.520
Pd 0.250 0.440 0.349
Sr 0.250 0.851 0.071
Sr 0.250 0.341 0.718
Sr 0.750 0.331 0.480
Sr 0.750 0.149 0.929
Sr 0.750 0.635 0.869
Pd 0.750 0.560 0.651
Sr 0.250 0.060 0.340
Sr 0.250 0.365 0.131

Calculated values
Space group: P2_1/m
Crystal system: monoclinic
Energy of formation from the pure elements, meV per atom: -329
Total moment, μB per atom: 0.000

=====

No. 7
VASP calculation (PBE-GGA) on an optimized crystal structure of AlPF3.

a b c (Å): 4.298 4.298 4.298
angles (deg): 90.00 90.00 90.00
Sites, in units of the cell vectors:
P 0.000 0.000 0.000
F 0.000 0.000 0.500
F 0.000 0.500 0.000
F 0.500 0.000 0.000
Al 0.500 0.500 0.500

Calculated values
Space group: Pm-3m
Excess energy over the best structure of this formula in the dataset, kJ/mol of formula units: 305
Crystal system: cubic
Formation energy from raw total energies, meV/atom: -951
Total moment, μB per atom: 0.000

=====

No. 8
VASP calculation (PBE-GGA) on an optimized crystal structure of CaTe2Pt.

a b c (Å): 6.043 6.043 8.652
angles (deg): 69.56 69.56 90.00
Sites, in units of the cell vectors:
Te 0.375 0.305 0.750
Te 0.055 0.625 0.250
Ca 0.250 0.750 0.500
Pt 0.000 0.000 0.000
Te 0.875 0.945 0.750
Te 0.695 0.125 0.250
Ca 0.500 0.500 0.000
Pt 0.750 0.250 0.500

Calculated values
Space group: I-42d
Excess energy over the best structure of this formula in the dataset, kJ/mol of formula units: 108
Crystal system: tetragonal
Formation energy from raw total energies, meV/atom: -580
Total moment, μB per atom: 0.000

=====

No. 9
VASP calculation (PBE-GGA) on an optimized crystal structure of Ca2TcBr.

a b c (Å): 3.651 3.651 8.934
angles (deg): 78.93 78.93 58.70
Sites, in units of the cell vectors:
Tc 0.250 0.250 0.250
Br 0.750 0.750 0.750
Ca 0.999 0.999 0.014
Ca 0.501 0.501 0.486

Calculated values
Space group: C2/m
Excess energy over the best structure of this formula in the dataset, kJ/mol of formula units: 27
Crystal system: monoclinic
Formation energy from raw total energies, meV/atom: -179
Total moment, μB per atom: 0.152

=====

No. 10
VASP calculation (PBE-GGA) on an optimized crystal structure of Ce3Te2Cl.

a b c (Å): 9.696 9.696 9.696
angles (deg): 153.95 153.95 37.17
Sites, in units of the cell vectors:
Ce 0.845 0.845 0.000
Ce 0.500 0.500 0.000
Cl 0.000 0.000 0.000
Te 0.328 0.328 0.000
Te 0.672 0.672 0.000
Ce 0.155 0.155 0.000

Calculated values
Space group: I4/mmm
Crystal system: tetragonal
Formation energy from raw total energies, meV/atom: -1308
Total moment, μB per atom: 0.534

=====

No. 11
VASP calculation (PBE-GGA) on an optimized crystal structure of ReHg3N.

a b c (Å): 5.258 5.258 5.258
angles (deg): 90.00 90.00 90.00
Sites, in units of the cell vectors:
Hg 0.000 0.000 0.500
Hg 0.000 0.500 0.000
Hg 0.500 0.000 0.000
N 0.500 0.500 0.500
Re 0.000 0.000 0.000

Calculated values
Space group: Pm-3m
Excess energy over the best structure of this formula in the dataset, kJ/mol of formula units: 240
Crystal system: cubic
Formation energy from raw total energies, meV/atom: 2232
Total moment, μB per atom: 0.000

=====

No. 12
VASP calculation (PBE-GGA) on an optimized crystal structure of Eu2SnPt.

a b c (Å): 3.564 3.564 8.362
angles (deg): 90.00 90.00 90.00
Sites, in units of the cell vectors:
Pt 0.500 0.500 0.000
Eu 0.000 0.000 0.216
Eu 0.000 0.000 0.784
Sn 0.500 0.500 0.500

Calculated values
Space group: P4/mmm
Excess energy over the best structure of this formula in the dataset, kJ/mol of formula units: 0
Crystal system: tetragonal
Energy of formation from the pure elements, meV per atom: -778
Total moment, μB per atom: 3.461